# HoSc2Pt9

Crystalline HoSc2Pt9 at its relaxed geometry (PBE, Alexandria).

abc: 4.0431 4.0431 12.1204
angles: 90.00 90.00 90.00
Fractional positions:
Sc: 0.0000 0.0000 0.3355
Sc: 0.0000 0.0000 0.6645
Pt: 0.5000 0.5000 0.3366
Pt: 0.5000 0.0000 0.5000
Pt: 0.5000 0.5000 0.0000
Pt: 0.5000 0.0000 0.8264
Pt: 0.0000 0.5000 0.8264
Pt: 0.5000 0.0000 0.1736
Pt: 0.5000 0.5000 0.6634
Pt: 0.0000 0.5000 0.5000
Pt: 0.0000 0.5000 0.1736
Ho: 0.0000 0.0000 0.0000

Output
For the uncorrected energy, the calculation gives -7.025 eV/atom. The volume comes out at 16.51 Å³/atom. The value obtained for the energy of formation from the pure elements is -102 kJ per mole of atoms. As for the magnetic moment: 0.00 Bohr magnetons per cell.



# Ba3Mg2Ga2Au4

Crystalline Ba3Mg2Ga2Au4 at its relaxed geometry (PBE, Alexandria).

abc: 4.6496 4.6496 17.0702
angles: 90.00 90.00 120.00
Fractional positions:
Ga: 0.3333 0.6667 0.1366
Ga: 0.6667 0.3333 0.8634
Au: 0.6667 0.3333 0.6025
Au: 0.6667 0.3333 0.1369
Au: 0.3333 0.6667 0.3975
Au: 0.3333 0.6667 0.8631
Mg: 0.3333 0.6667 0.5581
Mg: 0.6667 0.3333 0.4419
Ba: 0.0000 0.0000 0.0000
Ba: 0.0000 0.0000 0.2727
Ba: 0.0000 0.0000 0.7273

Output
For the uncorrected energy, the calculation gives -3.123 eV/atom. The volume comes out at 29.05 Å³/atom. The value obtained for the energy of formation from the pure elements is -55 kJ per mole of atoms. As for the magnetic moment: 0.00 Bohr magnetons per cell.



# TlFeIr2

Crystalline TlFeIr2 at its relaxed geometry (PBE, Alexandria).

abc: 2.8350 3.8436 5.9611
angles: 90.00 90.00 90.00
Fractional positions:
Ir: 0.0000 0.0000 0.9785
Ir: 0.5000 0.5000 0.2212
Fe: 0.5000 0.5000 0.8008
Tl: 0.0000 0.0000 0.4995

Output
For the uncorrected energy, the calculation gives -6.731 eV/atom. The volume comes out at 16.24 Å³/atom. The value obtained for the energy of formation from the pure elements is 39 kJ per mole of atoms. As for the magnetic moment: 2.99 Bohr magnetons per cell. As for the distance to the lowest polymorph of the same formula: 102 meV per atom.



# HfBe2Nb2

Crystalline HfBe2Nb2 at its relaxed geometry (PBE, Alexandria).

abc: 4.0020 4.0020 5.8237
angles: 69.90 69.90 90.00
Fractional positions:
Be: 0.2500 0.7500 0.5000
Be: 0.7500 0.2500 0.5000
Hf: 0.0000 0.0000 0.0000
Nb: 0.3711 0.3711 0.2578
Nb: 0.6289 0.6289 0.7422

Output
For the uncorrected energy, the calculation gives -7.064 eV/atom. The volume comes out at 16.30 Å³/atom. The value obtained for the energy of formation from the pure elements is 43 kJ per mole of atoms. As for the magnetic moment: 0.00 Bohr magnetons per cell. As for the distance to the lowest polymorph of the same formula: 532 meV per atom.



The highest magnetic moment belongs to which entry?
TlFeIr2